1.
PBE BeInGa, optimized geometry; electronic total energy = -17.91 eV/cell; energy of formation = 180 meV/atom; size of the total moment = 0.0 μB/f.u.
1.0
4.4055 -0.0327 0.0026
-2.1450 7.0847 -0.1949
2.2025 0.2917 3.7608
Be Ga In
2 2 2
Cartesian
0.0303 3.2072 0.0693
2.2373 3.1886 0.0699
3.3282 2.4471 2.0392
1.1422 4.2377 1.8611
-1.0462 5.8350 0.6135
5.5175 0.8483 3.2857


2.
PBE BeInGa, optimized geometry; electronic total energy = -33.71 eV/cell; energy of formation = 354 meV/atom; size of the total moment = 0.0 μB/f.u.
1.0
6.9483 0.0000 0.0000
0.0000 6.1297 0.0000
0.0000 0.0000 5.1596
In Be Ga
4 4 4
Cartesian
4.3541 4.5973 0.0011
0.8799 4.5973 2.5787
2.5942 1.5324 5.1584
6.0684 1.5324 2.5809
1.6732 1.5324 2.5774
5.1473 1.5324 0.0023
5.2751 4.5973 2.5821
1.8010 4.5973 5.1572
0.0000 3.0649 0.0000
3.4741 3.0649 2.5798
3.4741 0.0000 2.5798
0.0000 0.0000 0.0000


3.
PBE BeIn2Ga, optimized geometry; electronic total energy = -21.56 eV/cell; polymorph energy (0 for the lowest one) = 0.0000 eV/atom; energy of formation = 363 meV/atom; size of the total moment = 0.0 μB/f.u.
1.0
-1.7800 -1.9999 3.6980
2.6491 -3.6518 -0.6998
6.4354 0.6170 6.2494
In Ga Be
4 2 2
Cartesian
5.4972 -4.3585 7.3342
5.2424 -1.7805 5.7876
0.8879 -1.4843 3.6606
2.9816 -2.4460 1.7127
2.5450 -2.1043 5.7233
0.0000 0.0000 0.0000
0.4346 -2.8258 1.4991
4.7595 -2.9303 3.5244